# Dy2MgZn7 PBE relaxed
# E_form = -0.276 eV per atom
# Crystal system = tetragonal
# DOS(E_F) = 5.9 states/eV per cell
data_Dy2MgZn7
_space_group_name_H-M_alt 'P -4 m 2'
_space_group_IT_number 115
_space_group_name_Hall 'P -4 -2'
_cell_length_a 4.110
_cell_length_b 4.110
_cell_length_c 11.199
_cell_angle_alpha 90.00
_cell_angle_beta 90.00
_cell_angle_gamma 90.00
loop_
_atom_site_label
_atom_site_fract_x
_atom_site_fract_y
_atom_site_fract_z
Dy1 0.000 0.500 0.234
Mg1 0.000 0.000 0.500
Zn1 0.000 0.000 0.000
Zn2 0.000 0.500 0.650
Zn3 0.000 0.500 0.869
Zn4 0.500 0.500 0.000
Zn5 0.500 0.500 0.500

---

# Dy5MgZn6 PBE relaxed
# E_form = -0.318 eV per atom
# Crystal system = monoclinic
# DOS(E_F) = 19.1 states/eV per cell
data_Dy5MgZn6
_space_group_name_H-M_alt 'C 1 2/m 1'
_space_group_IT_number 12
_space_group_name_Hall '-C 2y'
_cell_length_a 8.648
_cell_length_b 15.018
_cell_length_c 4.938
_cell_angle_alpha 90.00
_cell_angle_beta 124.74
_cell_angle_gamma 90.00
loop_
_atom_site_label
_atom_site_fract_x
_atom_site_fract_y
_atom_site_fract_z
Dy1 0.000 0.000 0.000
Dy2 0.000 0.171 0.500
Dy3 0.000 0.338 0.000
Mg1 0.000 0.500 0.500
Zn1 0.242 0.500 0.243
Zn2 0.243 0.339 0.743